The following is a PBE calculation of crystalline YCuHg2 at its relaxed geometry, from Alexandria.

Cell lengths 4.347, 4.347, 20.369 Å; angles 90.00, 90.00, 90.00 degrees
Space group I-42d (No. 122)
Asymmetric unit:
Y 0.000 0.000 0.000
Cu 0.000 0.000 0.500
Hg 0.219 0.250 0.625

Computed properties:
* energy: -44.8 eV per cell

The following is a PBE calculation of crystalline Ni2C2Cl at its relaxed geometry, from Alexandria.

Cell lengths 6.614, 6.614, 3.004 Å; angles 90.00, 90.00, 90.00 degrees
Space group P4/mbm (No. 127)
Asymmetric unit:
Ni 0.133 0.367 0.000
C 0.073 0.573 0.500
Cl 0.000 0.000 0.500

Computed properties:
* E above lowest polymorph: 237.7 meV/atom
* formation energy (no corrections): 120.61 kJ/mol of atoms

The following is a PBE calculation of crystalline K4Nd3PuTe8 at its relaxed geometry, from Alexandria.

Cell lengths 9.2284, 9.2284, 24.7079 Å; angles 90.00, 90.00, 120.00 degrees
Space group R-3m (No. 166, hexagonal axes)
Asymmetric unit:
K 0.0000 0.0000 0.0000
K 0.0000 0.5000 0.0000
Nd 0.0000 0.5000 0.5000
Pu 0.0000 0.0000 0.5000
Te 0.0000 0.0000 0.2386
Te 0.0027 0.5013 0.2376

Computed properties:
* formation energy (no corrections): -128.68 kJ/mol of atoms